LiMnW2 after structural relaxation, computed with PBE.

Unit cell a=2.607 b=4.126 c=5.483 alpha=90.00 beta=90.00 gamma=90.00
Each line ends with the local moment (μB).
Sites, in units of the cell vectors:
Li (0.000, 0.000, 0.509)  -0.02
Mn (0.500, 0.500, 0.739)  2.67
W (0.000, 0.000, 0.997)  -0.12
W (0.500, 0.500, 0.255)  -0.11

Results
Theoretical density   12.09 Mg/m³
Distance to the lowest polymorph of the same formula   0.141 eV per atom
DOS(E_F)   3.4 states/eV per cell
VASP energy   -35.097 eV per cell
Energy of formation   473 meV per atom

---

Na6Bi2B4PO16 after structural relaxation, computed with PBE.

Unit cell a=10.254 b=10.254 c=10.254 alpha=60.00 beta=60.00 gamma=60.00
Each line ends with the local moment (μB).
Sites, in units of the cell vectors:
Na (0.453, 0.047, 0.453)  0.00
Na (0.203, 0.797, 0.203)  0.00
Na (0.047, 0.453, 0.453)  0.00
Na (0.453, 0.047, 0.047)  0.00
Na (0.797, 0.797, 0.203)  0.00
Na (0.203, 0.203, 0.797)  0.00
Na (0.453, 0.453, 0.047)  0.00
Na (0.047, 0.047, 0.453)  0.00
Na (0.797, 0.203, 0.203)  0.00
Na (0.797, 0.203, 0.797)  0.00
Na (0.203, 0.797, 0.797)  0.00
Na (0.047, 0.453, 0.047)  0.00
Bi (0.625, 0.125, 0.625)  -0.03
Bi (0.625, 0.625, 0.625)  -0.03
Bi (0.625, 0.625, 0.125)  -0.03
Bi (0.125, 0.625, 0.625)  -0.03
B (0.406, 0.406, 0.406)  0.00
B (0.844, 0.844, 0.468)  0.00
B (0.844, 0.468, 0.844)  0.00
B (0.782, 0.406, 0.406)  0.00
B (0.406, 0.782, 0.406)  0.00
B (0.468, 0.844, 0.844)  0.00
B (0.844, 0.844, 0.844)  0.00
B (0.406, 0.406, 0.782)  0.00
P (0.000, 0.000, 0.000)  -0.01
P (0.250, 0.250, 0.250)  -0.01
O (0.062, 0.062, 0.814)  0.09
O (0.062, 0.814, 0.062)  0.09
O (0.814, 0.062, 0.062)  0.09
O (0.062, 0.062, 0.062)  0.09
O (0.464, 0.832, 0.987)  -0.03
O (0.717, 0.987, 0.832)  -0.03
O (0.717, 0.832, 0.464)  -0.03
O (0.418, 0.533, 0.263)  -0.03
O (0.987, 0.717, 0.464)  -0.03
O (0.832, 0.464, 0.717)  -0.03
O (0.832, 0.987, 0.464)  -0.03
O (0.263, 0.418, 0.533)  -0.03
O (0.533, 0.786, 0.263)  -0.03
O (0.464, 0.717, 0.832)  -0.03
O (0.263, 0.786, 0.418)  -0.03
O (0.464, 0.987, 0.717)  -0.03
O (0.987, 0.464, 0.832)  -0.03
O (0.786, 0.263, 0.533)  -0.03
O (0.717, 0.464, 0.987)  -0.03
O (0.786, 0.533, 0.418)  -0.03
O (0.987, 0.832, 0.717)  -0.03
O (0.418, 0.263, 0.786)  -0.03
O (0.418, 0.786, 0.533)  -0.03
O (0.263, 0.533, 0.786)  -0.03
O (0.533, 0.418, 0.786)  -0.03
O (0.832, 0.717, 0.987)  -0.03
O (0.533, 0.263, 0.418)  -0.03
O (0.786, 0.418, 0.263)  -0.03
O (0.188, 0.188, 0.188)  0.09
O (0.188, 0.436, 0.188)  0.09
O (0.436, 0.188, 0.188)  0.09
O (0.188, 0.188, 0.436)  0.09

Results
Theoretical density   3.86 Mg/m³
DOS(E_F)   35.5 states/eV per cell
VASP energy   -365.779 eV per cell

---

K5GeO4F2 after structural relaxation, computed with PBE.

Unit cell a=6.339 b=5.954 c=7.596 alpha=90.00 beta=90.00 gamma=122.16
Each line ends with the local moment (μB).
Sites, in units of the cell vectors:
K (0.087, 0.372, 0.238)  0.00
K (0.415, 0.000, 0.500)  0.01
K (0.087, 0.372, 0.762)  0.00
K (0.715, 0.628, 0.762)  0.00
K (0.715, 0.628, 0.238)  0.00
Ge (0.410, 0.000, 0.000)  -0.03
O (0.585, 0.000, 0.185)  0.21
O (0.585, 0.000, 0.815)  0.21
O (0.376, 0.279, 0.000)  0.20
O (0.097, 0.721, 0.000)  0.20
F (0.960, 0.587, 0.500)  0.00
F (0.374, 0.413, 0.500)  0.00

Results
Theoretical density   2.53 Mg/m³
DOS(E_F)   7.9 states/eV per cell
VASP energy   -56.497 eV per cell

---

MgCd4Ga4 after structural relaxation, computed with PBE.

Unit cell a=4.487 b=6.836 c=6.836 alpha=83.82 beta=70.84 gamma=70.84
Sites, in units of the cell vectors:
Mg (0.000, 0.000, 0.000)
Cd (0.332, 0.335, 0.000)
Cd (0.668, 0.665, 0.000)
Cd (0.667, 0.000, 0.665)
Cd (0.333, 0.000, 0.335)
Ga (0.000, 0.660, 0.341)
Ga (0.000, 0.340, 0.659)
Ga (0.659, 0.341, 0.340)
Ga (0.341, 0.659, 0.660)

Results
Theoretical density   6.68 Mg/m³
DOS(E_F)   3.4 states/eV per cell
VASP energy   -17.294 eV per cell
Energy of formation   8 meV per atom